PBE with a Hubbard U YMoF2, relaxed; VASP energy = -47.81 eV per cell
1.0
-2.7791 2.7791 6.5260
2.7791 -2.7791 6.5260
2.7791 2.7791 -6.5260
Y Mo F
2 2 4
Direct
0.0000 0.0000 0.0000
0.7500 0.2500 0.5000
0.2500 0.7500 0.5000
0.5000 0.5000 0.0000
0.3750 0.1500 0.2750
0.8500 0.1250 0.2250
0.8750 0.1000 0.7250
0.9000 0.6250 0.7750